A geometry-optimized NaCa2Tl2 structure, computed with PBE.

Computed properties:
space group = I4/mmm (139)
energy above the lowest structure with this stoichiometry = 1.17 eV/f.u.
formation enthalpy at 0 K = -0.070 eV/atom
size of the total moment = 0.0 Bohr magnetons per cell
DOS at the Fermi energy = 4.18 states/eV/f.u.
raw total energy = -10.40 eV for the cell shown

```
5
Lattice="-0.5291 4.6154 1.9290 -2.1930 -1.9574 4.0819 4.9819 0.7482 6.1347" Properties=species:S:1:pos:R:3 pbc="T T T"
Na 0.0000 0.0000 0.0000
Tl -0.0759 1.2113 3.6395
Tl 2.3358 2.1948 8.5062
Ca 1.5459 3.3462 5.5346
Ca 0.7139 0.0598 6.6110
```